1.
The following is a PBE-GGA calculation of Cd3PO after structural relaxation, from Alexandria via LeMat-Bulk.

Geometry as CIF:
```
data_Cd3PO
_symmetry_space_group_name_H-M 'P 1'
_symmetry_Int_Tables_number 1
_cell_length_a 4.597
_cell_length_b 4.597
_cell_length_c 4.597
_cell_angle_alpha 90.00
_cell_angle_beta 90.00
_cell_angle_gamma 90.00
loop_
_symmetry_equiv_pos_as_xyz
'x,y,z'
loop_
_atom_site_label
_atom_site_type_symbol
_atom_site_fract_x
_atom_site_fract_y
_atom_site_fract_z
_atom_site_occupancy
Cd1 Cd 0.000 0.000 0.500 1
Cd2 Cd 0.000 0.500 0.000 1
Cd3 Cd 0.500 0.000 0.000 1
P1 P 0.500 0.500 0.500 1
O1 O 0.000 0.000 0.000 1
```

Volume   97.2 Å³ per cell
Calculated total energy   -13.44 eV for the cell shown
ΔE_f (raw)   -0.065 eV/atom
Fermi-level density of states   1.8 states/eV/f.u.
Offset from the most stable computed form   0.0 meV/atom



2.
The following is a PBE-GGA calculation of CdP3O9 after structural relaxation, from Alexandria via LeMat-Bulk.

Geometry as CIF:
```
data_CdP3O9
_symmetry_space_group_name_H-M 'P 1'
_symmetry_Int_Tables_number 1
_cell_length_a 7.078
_cell_length_b 7.078
_cell_length_c 7.243
_cell_angle_alpha 90.00
_cell_angle_beta 90.00
_cell_angle_gamma 92.46
loop_
_symmetry_equiv_pos_as_xyz
'x,y,z'
loop_
_atom_site_label
_atom_site_type_symbol
_atom_site_fract_x
_atom_site_fract_y
_atom_site_fract_z
_atom_site_occupancy
Cd1 Cd 0.198 0.198 0.000 1
Cd2 Cd 0.802 0.802 0.500 1
P1 P 0.286 0.286 0.500 1
P2 P 0.291 0.697 0.957 1
P3 P 0.303 0.709 0.543 1
P4 P 0.697 0.291 0.043 1
P5 P 0.709 0.303 0.457 1
P6 P 0.714 0.714 0.000 1
O1 O 0.123 0.811 0.530 1
O2 O 0.178 0.238 0.674 1
O3 O 0.189 0.877 0.970 1
O4 O 0.193 0.522 0.036 1
O5 O 0.238 0.178 0.326 1
O6 O 0.272 0.506 0.447 1
O7 O 0.352 0.648 0.750 1
O8 O 0.478 0.807 0.464 1
O9 O 0.494 0.728 0.053 1
O10 O 0.506 0.272 0.553 1
O11 O 0.522 0.193 0.964 1
O12 O 0.648 0.352 0.250 1
O13 O 0.728 0.494 0.947 1
O14 O 0.762 0.822 0.826 1
O15 O 0.807 0.478 0.536 1
O16 O 0.811 0.123 0.470 1
O17 O 0.822 0.762 0.174 1
O18 O 0.877 0.189 0.030 1
```

Volume   362.5 Å³ per cell
Calculated total energy   -170.50 eV for the cell shown
ΔE_f (raw)   -1.806 eV/atom
Fermi-level density of states   6.5 states/eV/f.u.



3.
The following is a PBE-GGA calculation of Cd3PO6 after structural relaxation, from Alexandria via LeMat-Bulk.

Geometry as CIF:
```
data_Cd3PO6
_symmetry_space_group_name_H-M 'P 1'
_symmetry_Int_Tables_number 1
_cell_length_a 5.472
_cell_length_b 5.472
_cell_length_c 5.428
_cell_angle_alpha 118.90
_cell_angle_beta 118.90
_cell_angle_gamma 60.26
loop_
_symmetry_equiv_pos_as_xyz
'x,y,z'
loop_
_atom_site_label
_atom_site_type_symbol
_atom_site_fract_x
_atom_site_fract_y
_atom_site_fract_z
_atom_site_occupancy
Cd1 Cd 0.000 0.000 0.000 1
Cd2 Cd 0.250 0.250 0.726 1
Cd3 Cd 0.750 0.750 0.274 1
P1 P 0.500 0.500 0.500 1
O1 O 0.210 0.654 0.637 1
O2 O 0.299 0.299 0.172 1
O3 O 0.346 0.790 0.363 1
O4 O 0.654 0.210 0.637 1
O5 O 0.701 0.701 0.828 1
O6 O 0.790 0.346 0.363 1
```

Volume   117.0 Å³ per cell
Calculated total energy   -49.94 eV for the cell shown
ΔE_f (raw)   -1.204 eV/atom
Fermi-level density of states   5.3 states/eV/f.u.
Offset from the most stable computed form   10.9 meV/atom



4.
The following is a PBE-GGA calculation of CdP2O10 after structural relaxation, from Alexandria via LeMat-Bulk.

Geometry as CIF:
```
data_CdP2O10
_symmetry_space_group_name_H-M 'P 1'
_symmetry_Int_Tables_number 1
_cell_length_a 5.255
_cell_length_b 9.798
_cell_length_c 8.420
_cell_angle_alpha 90.00
_cell_angle_beta 119.38
_cell_angle_gamma 90.00
loop_
_symmetry_equiv_pos_as_xyz
'x,y,z'
loop_
_atom_site_label
_atom_site_type_symbol
_atom_site_fract_x
_atom_site_fract_y
_atom_site_fract_z
_atom_site_occupancy
Cd1 Cd 0.000 0.000 0.000 1
Cd2 Cd 0.000 0.500 0.500 1
P1 P 0.377 0.186 0.651 1
P2 P 0.377 0.314 0.151 1
P3 P 0.623 0.686 0.849 1
P4 P 0.623 0.814 0.349 1
O1 O 0.102 0.144 0.665 1
O2 O 0.102 0.356 0.165 1
O3 O 0.122 0.553 0.276 1
O4 O 0.122 0.947 0.776 1
O5 O 0.335 0.654 0.681 1
O6 O 0.335 0.846 0.181 1
O7 O 0.337 0.110 0.477 1
O8 O 0.337 0.390 0.977 1
O9 O 0.360 0.160 0.107 1
O10 O 0.360 0.340 0.607 1
O11 O 0.640 0.660 0.393 1
O12 O 0.640 0.840 0.893 1
O13 O 0.663 0.610 0.023 1
O14 O 0.663 0.890 0.523 1
O15 O 0.665 0.154 0.819 1
O16 O 0.665 0.346 0.319 1
O17 O 0.878 0.053 0.224 1
O18 O 0.878 0.447 0.724 1
O19 O 0.898 0.644 0.835 1
O20 O 0.898 0.856 0.335 1
```

Volume   377.8 Å³ per cell
Calculated total energy   -139.13 eV for the cell shown
ΔE_f (raw)   -0.634 eV/atom
Fermi-level density of states   4.9 states/eV/f.u.
Offset from the most stable computed form   689.7 meV/atom



5.
The following is a PBE-GGA calculation of CdP3O after structural relaxation, from Alexandria via LeMat-Bulk.

Geometry as CIF:
```
data_CdP3O
_symmetry_space_group_name_H-M 'P 1'
_symmetry_Int_Tables_number 1
_cell_length_a 4.979
_cell_length_b 4.979
_cell_length_c 4.979
_cell_angle_alpha 90.00
_cell_angle_beta 90.00
_cell_angle_gamma 90.00
loop_
_symmetry_equiv_pos_as_xyz
'x,y,z'
loop_
_atom_site_label
_atom_site_type_symbol
_atom_site_fract_x
_atom_site_fract_y
_atom_site_fract_z
_atom_site_occupancy
Cd1 Cd 0.000 0.000 0.000 1
P1 P 0.000 0.000 0.500 1
P2 P 0.000 0.500 0.000 1
P3 P 0.500 0.000 0.000 1
O1 O 0.500 0.500 0.500 1
```

Volume   123.4 Å³ per cell
Calculated total energy   -13.03 eV for the cell shown
ΔE_f (raw)   1.815 eV/atom
Fermi-level density of states   4.3 states/eV/f.u.
Offset from the most stable computed form   1232.3 meV/atom



6.
The following is a PBE-GGA calculation of Cd3PO6 after structural relaxation, from Alexandria via LeMat-Bulk.

Geometry as CIF:
```
data_Cd3PO6
_symmetry_space_group_name_H-M 'P 1'
_symmetry_Int_Tables_number 1
_cell_length_a 5.375
_cell_length_b 5.508
_cell_length_c 9.434
_cell_angle_alpha 90.00
_cell_angle_beta 123.90
_cell_angle_gamma 90.00
loop_
_symmetry_equiv_pos_as_xyz
'x,y,z'
loop_
_atom_site_label
_atom_site_type_symbol
_atom_site_fract_x
_atom_site_fract_y
_atom_site_fract_z
_atom_site_occupancy
Cd1 Cd 0.000 0.000 0.000 1
Cd2 Cd 0.000 0.500 0.500 1
Cd3 Cd 0.264 0.048 0.747 1
Cd4 Cd 0.264 0.452 0.247 1
Cd5 Cd 0.736 0.548 0.753 1
Cd6 Cd 0.736 0.952 0.253 1
P1 P 0.500 0.000 0.500 1
P2 P 0.500 0.500 0.000 1
O1 O 0.179 0.052 0.296 1
O2 O 0.179 0.448 0.796 1
O3 O 0.302 0.679 0.053 1
O4 O 0.302 0.821 0.553 1
O5 O 0.413 0.248 0.074 1
O6 O 0.413 0.252 0.574 1
O7 O 0.587 0.748 0.426 1
O8 O 0.587 0.752 0.926 1
O9 O 0.698 0.179 0.447 1
O10 O 0.698 0.321 0.947 1
O11 O 0.821 0.552 0.204 1
O12 O 0.821 0.948 0.704 1
```

Volume   231.8 Å³ per cell
Calculated total energy   -100.10 eV for the cell shown
ΔE_f (raw)   -1.215 eV/atom
Fermi-level density of states   6.2 states/eV/f.u.
Offset from the most stable computed form   0.0 meV/atom



| no. | magnetization (μB per formula unit) |
| --- | --- |
| 1 | 0.0 |
| 2 | 1.1 |
| 3 | 1.0 |
| 4 | 8.1 |
| 5 | 2.8 |
| 6 | 1.0 |